## SmTeI (PBE)

Data for SmTeI after structural relaxation.

For the formation energy without anion corrections, the calculation gives -1.2127 eV per atom. The calculation puts the energy at -4.350 eV per atom. The calculation puts the excess energy over the best structure of this formula in the dataset at 61 kJ/mol of formula units. As for the space group: F-43m, No. 216.

Cell: 7.626 7.626 7.626 Å, 90.00 90.00 90.00°
Positions (direct):
Sm  0.000  0.000  0.000
Sm  0.000  0.500  0.500
Sm  0.500  0.000  0.500
Sm  0.500  0.500  0.000
Te  0.250  0.250  0.750
Te  0.250  0.750  0.250
Te  0.750  0.250  0.250
Te  0.750  0.750  0.750
I  0.250  0.250  0.250
I  0.250  0.750  0.750
I  0.750  0.250  0.750
I  0.750  0.750  0.250